Entry 1:
Pr7Sm12Dy: relaxed, PBE-GGA.

Properties
Offset from the most stable computed form (meV/atom): 0
Magnetization (μB/f.u.): 0.000
DOS(E_F) (states/eV/cell): 39.21

extended XYZ file:
```
20
Lattice="8.624 1.267 1.902 -1.181 8.636 1.902 -1.181 -1.571 8.702" Properties=species:S:1:pos:R:3 pbc="T T T"
Pr 5.507 4.836 10.780
Pr 3.148 0.939 2.231
Pr 0.027 0.794 3.891
Pr 3.131 4.166 6.253
Pr 6.235 7.538 8.615
Pr 3.114 7.393 10.275
Pr 0.755 3.496 1.726
Sm 6.213 2.118 8.425
Sm 5.955 3.083 3.210
Sm 4.576 1.166 5.733
Sm 6.414 4.859 5.942
Sm 1.305 0.429 7.306
Sm 2.884 2.590 9.221
Sm 3.378 5.742 3.284
Sm 4.957 7.903 5.199
Sm -0.152 3.473 6.564
Sm 1.686 7.166 6.773
Sm 0.307 5.249 9.296
Sm 0.049 6.214 4.081
Dy 0.000 0.000 0.000
```



Entry 2:
Zn3TcPt12: relaxed, PBE-GGA.

Properties
Magnetization (μB/f.u.): 0.000
Total DFT energy (no corrections) (eV per cell): -91.27
DOS(E_F) (states/eV/cell): 15.96

extended XYZ file:
```
16
Lattice="3.932 0.000 0.000 0.000 3.932 0.000 0.000 0.000 15.742" Properties=species:S:1:pos:R:3 pbc="T T T"
Zn 0.000 0.000 3.989
Zn 0.000 0.000 7.871
Zn 0.000 0.000 11.753
Tc 0.000 0.000 0.000
Pt 1.966 1.966 0.000
Pt 1.966 1.966 3.930
Pt 1.966 1.966 7.871
Pt 1.966 1.966 11.811
Pt 1.966 0.000 1.939
Pt 1.966 0.000 5.909
Pt 1.966 0.000 9.833
Pt 1.966 0.000 13.803
Pt 0.000 1.966 1.939
Pt 0.000 1.966 5.909
Pt 0.000 1.966 9.833
Pt 0.000 1.966 13.803
```



Entry 3:
NaHoGe2O6: relaxed, PBE-GGA.

Properties
Magnetization (μB/f.u.): 0.000
Total DFT energy (no corrections) (eV per cell): -134.58
DOS(E_F) (states/eV/cell): 0.00

extended XYZ file:
```
20
Lattice="5.725 -0.109 -0.113 1.702 6.965 0.260 1.702 0.002 6.970" Properties=species:S:1:pos:R:3 pbc="T T T"
Na 3.133 2.150 4.846
Na 5.996 4.708 2.271
Ho 3.133 6.186 0.956
Ho 5.996 0.671 6.161
Ge 3.864 5.528 4.518
Ge 2.403 2.602 1.482
Ge 5.265 1.330 2.599
Ge 6.726 4.255 5.635
O 3.852 6.692 5.844
O 2.415 1.320 0.270
O 5.277 0.166 1.273
O 6.714 5.538 6.847
O 4.066 6.138 2.909
O 2.200 4.233 0.932
O 5.063 0.720 4.208
O 6.929 2.625 6.185
O 2.326 4.583 4.539
O 3.940 2.546 2.426
O 6.803 2.275 2.578
O 5.189 4.311 4.691
```



Entry 4:
CdCu4Pd: relaxed, PBE-GGA.

Properties
Magnetization (μB/f.u.): 0.000
Total DFT energy (no corrections) (eV per cell): -22.90
DOS(E_F) (states/eV/cell): 2.73

extended XYZ file:
```
6
Lattice="4.910 0.000 0.000 2.455 4.252 0.000 2.455 1.417 4.009" Properties=species:S:1:pos:R:3 pbc="T T T"
Pd 0.000 0.000 0.000
Cu 4.910 2.835 0.498
Cu 4.910 1.415 2.507
Cu 6.140 3.545 2.507
Cu 3.680 3.545 2.507
Cd 2.455 1.417 1.002
```



Entry 5:
HfBe5: relaxed, PBE-GGA.

Properties
Offset from the most stable computed form (meV/atom): 0
Magnetization (μB/f.u.): 0.000
DOS(E_F) (states/eV/cell): 2.58

extended XYZ file:
```
6
Lattice="4.527 0.000 0.000 -2.264 3.921 0.000 0.000 0.000 3.434" Properties=species:S:1:pos:R:3 pbc="T T T"
Hf 0.000 0.000 0.000
Be 0.000 2.614 0.000
Be 2.264 1.307 0.000
Be 2.264 0.000 1.717
Be 1.132 1.960 1.717
Be -1.132 1.960 1.717
```



Entry 6:
Pa3TeN2O6: relaxed, PBE-GGA.

Properties
Magnetization (μB/f.u.): 0.941
Total DFT energy (no corrections) (eV per cell): -104.75
DOS(E_F) (states/eV/cell): 1.47

extended XYZ file:
```
12
Lattice="4.567 0.000 0.160 0.000 7.143 0.000 -0.455 -3.571 5.784" Properties=species:S:1:pos:R:3 pbc="T T T"
Pa 0.000 3.571 0.000
Pa 2.056 1.786 2.972
Pa 2.056 -1.786 2.972
Te 2.283 0.000 0.080
N 1.052 3.571 2.014
N 3.060 0.000 3.931
O 3.306 1.941 1.124
O 0.806 1.630 4.821
O 2.906 3.571 3.993
O 1.205 0.000 1.952
O 0.806 -1.630 4.821
O 3.306 5.202 1.124
```



Entry 7:
Ba3P2Pd7: relaxed, PBE-GGA.

Properties
Magnetization (μB/f.u.): 0.000
Total DFT energy (no corrections) (eV per cell): -59.64
DOS(E_F) (states/eV/cell): 9.24

extended XYZ file:
```
12
Lattice="-3.325 1.778 2.386 -2.968 -2.696 -2.127 3.333 -8.523 10.997" Properties=species:S:1:pos:R:3 pbc="T T T"
Ba -3.147 -0.459 0.130
Ba -2.433 -4.266 3.961
Ba -0.527 -5.174 7.295
P 0.064 -9.611 7.252
P 0.301 -1.608 1.618
Pd 1.454 -7.760 7.809
Pd -0.267 -7.842 5.471
Pd 0.000 0.000 0.000
Pd -1.089 -3.459 1.061
Pd -1.263 -1.242 3.338
Pd -1.697 -8.198 7.918
Pd 0.633 -3.377 3.399
```



Entry 8:
Dy2CoHg: relaxed, PBE-GGA.

Properties
Offset from the most stable computed form (meV/atom): 102
Magnetization (μB/f.u.): 0.595
DOS(E_F) (states/eV/cell): 2.57

extended XYZ file:
```
4
Lattice="-0.934 4.938 0.046 -4.524 1.715 -1.361 -3.094 1.941 3.453" Properties=species:S:1:pos:R:3 pbc="T T T"
Co -4.276 4.297 1.069
Hg 0.000 0.000 0.000
Dy -2.138 2.148 0.534
Dy -6.414 6.445 1.603
```



Entry 9:
Ca2Ga3Au9: relaxed, PBE-GGA.

Properties
Magnetization (μB/f.u.): 0.000
Total DFT energy (no corrections) (eV per cell): -98.02
DOS(E_F) (states/eV/cell): 8.94

extended XYZ file:
```
28
Lattice="-4.232 2.310 6.374 2.038 -7.680 -0.858 10.521 2.668 0.972" Properties=species:S:1:pos:R:3 pbc="T T T"
Ca 6.993 0.862 2.662
Ca 1.335 -3.564 3.827
Ca 4.841 -0.190 6.591
Ca 3.486 -2.513 -0.102
Ga -2.116 1.155 3.187
Ga 4.164 -1.351 3.244
Ga 2.031 1.939 5.782
Ga 6.296 -4.641 0.707
Ga 10.469 0.364 1.795
Ga -2.141 -3.066 4.693
Au 7.830 -4.039 2.770
Au 0.497 1.337 3.719
Au 6.519 -1.802 4.426
Au 1.809 -0.900 2.063
Au 9.171 -1.439 3.242
Au -0.844 -1.263 3.246
Au 6.156 -2.006 1.492
Au 2.171 -0.697 4.997
Au 4.409 2.979 6.285
Au 3.919 -5.681 0.204
Au 11.210 -4.771 0.831
Au -2.883 2.069 5.657
Au 4.109 1.306 3.924
Au 4.219 -4.008 2.565
Au 3.999 -3.054 5.366
Au 4.328 0.351 1.123
Au 7.118 1.971 5.689
Au 1.210 -4.673 0.800
```



Entry 10:
BaCuSeI2: relaxed, PBE-GGA.

Properties
Magnetization (μB/f.u.): 1.000
Total DFT energy (no corrections) (eV per cell): -12.47
DOS(E_F) (states/eV/cell): 8.63

extended XYZ file:
```
5
Lattice="-4.220 -4.178 3.152 1.555 -4.640 -4.070 4.969 -1.928 4.097" Properties=species:S:1:pos:R:3 pbc="T T T"
I 2.485 -0.964 2.049
I -2.110 -2.089 1.576
Cu 1.152 -5.373 1.590
Ba 0.000 0.000 0.000
Se 0.777 -2.320 -2.035
```



Entry 11:
Hf4CuGe: relaxed, PBE-GGA.

Properties
Offset from the most stable computed form (meV/atom): 0
Magnetization (μB/f.u.): 0.000
DOS(E_F) (states/eV/cell): 7.58

extended XYZ file:
```
6
Lattice="5.173 -0.117 -1.383 -3.074 4.161 -1.383 0.061 0.117 5.354" Properties=species:S:1:pos:R:3 pbc="T T T"
Hf 2.794 0.341 0.050
Hf 3.489 1.681 2.538
Hf -2.274 3.820 1.294
Hf 0.309 2.480 1.294
Cu 0.000 0.000 0.000
Ge 1.049 2.022 -1.383
```



Entry 12:
BaPmAgS3: relaxed, PBE-GGA.

Properties
Magnetization (μB/f.u.): 0.000
Total DFT energy (no corrections) (eV per cell): -63.13

extended XYZ file:
```
12
Lattice="4.176 0.000 0.000 0.000 8.619 -0.048 0.000 -2.324 8.927" Properties=species:S:1:pos:R:3 pbc="T T T"
Ba 1.044 1.153 2.127
Ba 3.132 5.142 6.752
Pm 1.044 5.430 1.427
Pm 3.132 0.865 7.452
Ag 1.044 -0.578 5.270
Ag 3.132 6.873 3.609
S 3.132 7.369 1.112
S 1.044 -1.074 7.767
S 1.044 5.450 4.267
S 3.132 0.845 4.612
S 3.132 3.483 1.363
S 1.044 2.812 7.516
```



Entry 13:
LaCrIn3: relaxed, PBE-GGA.

Properties
Offset from the most stable computed form (meV/atom): 0
Magnetization (μB/f.u.): 1.444
DOS(E_F) (states/eV/cell): 2.92

extended XYZ file:
```
5
Lattice="-1.296 -2.658 -4.139 1.765 -4.246 2.174 -4.591 -0.882 2.004" Properties=species:S:1:pos:R:3 pbc="T T T"
Cr 0.000 0.000 0.000
In 0.883 -2.123 1.087
In -2.295 -0.441 1.002
In -0.648 -1.329 -2.069
La -2.061 -3.893 0.020
```



Entry 14:
La2HoBi: relaxed, PBE-GGA.

Properties
Offset from the most stable computed form (meV/atom): 27
Magnetization (μB/f.u.): 0.000
DOS(E_F) (states/eV/cell): 5.40

extended XYZ file:
```
4
Lattice="-3.997 0.102 -1.731 -1.734 -0.338 3.983 -0.066 7.038 0.568" Properties=species:S:1:pos:R:3 pbc="T T T"
La -0.048 5.150 0.415
La -0.018 1.888 0.152
Bi -2.899 3.401 1.410
Ho -2.866 -0.118 1.126
```



Entry 15:
PaFe2W: relaxed, PBE-GGA.

Properties
Offset from the most stable computed form (meV/atom): 0
Magnetization (μB/f.u.): 0.455
DOS(E_F) (states/eV/cell): 2.95

extended XYZ file:
```
4
Lattice="-2.610 1.413 -0.136 -0.179 -0.046 2.965 3.312 6.145 0.296" Properties=species:S:1:pos:R:3 pbc="T T T"
Pa 0.261 3.756 1.562
Fe 2.634 4.888 0.235
Fe 0.677 1.257 0.060
W -1.395 0.683 1.414
```



Entry 16:
Tb4PmEr8: relaxed, PBE-GGA.

Properties
Magnetization (μB/f.u.): 0.000
Total DFT energy (no corrections) (eV per cell): -57.10
DOS(E_F) (states/eV/cell): 15.21

extended XYZ file:
```
13
Lattice="-5.423 -4.749 -0.925 4.262 -0.448 5.870 -3.346 8.777 3.099" Properties=species:S:1:pos:R:3 pbc="T T T"
Tb 0.000 0.000 0.000
Tb 2.131 -0.224 2.935
Tb -0.581 -2.599 2.473
Tb -2.711 -2.375 -0.462
Pm 0.458 4.165 4.484
Er -0.882 0.006 5.140
Er -3.625 3.573 2.904
Er -2.672 0.210 1.956
Er -6.610 1.518 2.406
Er -1.835 3.370 6.088
Er -4.234 1.268 5.679
Er -0.273 2.311 2.365
Er 2.103 2.062 5.638
```



Entry 17:
Nd7Ga5Bi: relaxed, PBE-GGA.

Properties
Magnetization (μB/f.u.): 0.000
Total DFT energy (no corrections) (eV per cell): -57.74
DOS(E_F) (states/eV/cell): 11.24

extended XYZ file:
```
13
Lattice="-4.123 4.014 -2.665 -6.302 -3.861 -3.610 -5.826 2.502 5.239" Properties=species:S:1:pos:R:3 pbc="T T T"
Nd -6.990 2.089 -1.127
Nd -10.040 0.043 0.509
Nd -10.220 4.482 -0.072
Nd -10.404 2.020 -3.495
Nd -3.712 0.899 -0.447
Nd -7.945 -0.524 -3.587
Nd -7.634 3.630 2.190
Ga -4.822 3.136 1.308
Ga -3.001 1.364 2.485
Ga -5.055 0.010 -3.040
Ga -3.235 -1.763 -1.863
Ga -11.972 2.136 -0.893
Bi -4.470 3.781 -2.478
```



Entry 18:
Nb2InH: relaxed, PBE-GGA.

Properties
Offset from the most stable computed form (meV/atom): 176
Magnetization (μB/f.u.): 0.000
DOS(E_F) (states/eV/cell): 2.78

extended XYZ file:
```
4
Lattice="-0.108 -1.216 3.310 1.225 -3.297 -1.171 4.255 3.197 1.314" Properties=species:S:1:pos:R:3 pbc="T T T"
Nb 0.044 0.014 0.007
Nb 3.643 0.569 2.208
In 2.215 -1.730 1.317
H 4.337 1.380 0.649
```



Entry 19:
Sr2C2Br: relaxed, PBE-GGA.

Properties
Magnetization (μB/f.u.): 0.000
Total DFT energy (no corrections) (eV per cell): -26.50
DOS(E_F) (states/eV/cell): 1.66

extended XYZ file:
```
5
Lattice="4.259 -0.095 0.289 1.609 3.945 0.289 0.004 0.003 7.453" Properties=species:S:1:pos:R:3 pbc="T T T"
Sr 3.894 2.554 5.597
Sr 1.979 1.298 2.434
C 3.908 0.445 4.016
C 1.965 3.407 4.016
Br 0.000 0.000 0.000
```



Entry 20:
BaCa3Mg: relaxed, PBE-GGA.

Properties
Offset from the most stable computed form (meV/atom): 88
Magnetization (μB/f.u.): 0.000
DOS(E_F) (states/eV/cell): 12.30

extended XYZ file:
```
10
Lattice="-2.559 -3.148 0.066 5.401 -4.189 9.526 -6.047 5.062 5.654" Properties=species:S:1:pos:R:3 pbc="T T T"
Ba -1.679 0.160 4.630
Ba -1.525 -2.435 10.617
Ca -5.334 3.132 4.917
Ca 2.130 -5.407 10.329
Ca -3.020 1.337 8.999
Ca -0.184 -3.612 6.248
Ca -0.770 -3.290 2.597
Ca -2.435 1.015 12.650
Mg -4.774 0.103 6.360
Mg 1.570 -2.378 8.887
```



Entry 21:
Tb2GePPd6: relaxed, PBE-GGA.

Properties
Magnetization (μB/f.u.): 0.000
Total DFT energy (no corrections) (eV per cell): -115.94
DOS(E_F) (states/eV/cell): 6.83

extended XYZ file:
```
20
Lattice="-0.756 -2.464 -4.921 7.652 1.386 -1.869 2.227 -7.614 3.470" Properties=species:S:1:pos:R:3 pbc="T T T"
Tb 5.851 -2.201 -2.932
Tb 3.702 -5.436 2.152
Tb 6.913 -5.832 -1.278
Tb 2.537 -1.452 0.337
Ge 6.655 -2.803 0.381
Ge 1.733 -0.849 -2.976
P 2.578 -4.705 -1.176
P 5.810 1.052 -1.419
Pd 1.114 -2.982 -1.813
Pd 2.219 -6.758 -0.093
Pd 7.273 -0.671 -0.781
Pd 8.396 -4.509 0.968
Pd 8.523 -3.048 -1.354
Pd 8.146 -4.277 -3.810
Pd 4.555 -3.771 -0.395
Pd 4.181 -4.991 -2.831
Pd 3.451 -1.126 -4.685
Pd 3.833 0.118 -2.200
Pd -0.135 -0.605 -1.241
Pd -0.514 -1.839 -3.706
```



Entry 22:
InGaS2: relaxed, PBE-GGA.

Properties
Magnetization (μB/f.u.): 0.000
Total DFT energy (no corrections) (eV per cell): -30.90
DOS(E_F) (states/eV/cell): 0.00

extended XYZ file:
```
8
Lattice="-1.976 -2.428 -6.196 -6.101 -1.921 2.698 -5.762 1.854 -2.778" Properties=species:S:1:pos:R:3 pbc="T T T"
S -3.532 -1.410 -4.525
S -5.406 -0.925 0.513
S -7.060 -0.148 -3.524
S -11.680 -2.506 -5.015
Ga -4.039 -2.174 -1.749
Ga -7.951 -1.121 -0.914
In 0.000 0.000 0.000
In -5.888 -1.374 -5.362
```